Material: Al5Ag
Method: DFT, GGA-PBEsol
State: relaxed

V   16.26 A^3/atom
Formation enthalpy at 0 K   -0.01 eV per atom
Distance to the lowest polymorph of the same formula   13.6 meV/atom

abc: 9.5264 2.8273 7.9652
angles: 90.00 114.53 90.00
Space group C2/m (No. 12)
Unique sites:
Al  0.0000  0.0000  0.0000 x2
Al  0.1616  0.5000  0.3337 x4
Al  0.1694  0.5000  0.8321 x4
Ag  0.0000  0.0000  0.5000 x2


Material: Al3Ag
Method: DFT, GGA-PBEsol
State: relaxed

V   16.46 A^3/atom
Formation enthalpy at 0 K   0.04 eV per atom

abc: 2.8445 4.7938 4.8282
angles: 90.00 90.00 90.00
Space group Pmm2 (No. 25)
Unique sites:
Al  0.0000  0.0000  0.0000 x1
Al  0.0000  0.5000  0.3362 x1
Al  0.5000  0.5000  0.8391 x1
Ag  0.5000  0.0000  0.5046 x1


Material: Al7Ag4
Method: DFT, GGA-PBEsol
State: relaxed

V   16.26 A^3/atom
Formation enthalpy at 0 K   -0.03 eV per atom
Distance to the lowest polymorph of the same formula   24.4 meV/atom

abc: 4.8235 5.0525 7.4647
angles: 89.34 84.85 80.90
Space group P1 (No. 1)
Unique sites:
Al  0.0000  0.0000  0.0000 x1
Al  0.0880  0.7991  0.6434 x1
Al  0.1775  0.6284  0.2809 x1
Al  0.3625  0.2534  0.5541 x1
Al  0.4591  0.0852  0.1879 x1
Al  0.6336  0.6994  0.4588 x1
Al  0.7231  0.5453  0.0903 x1
Ag  0.2674  0.4539  0.9248 x1
Ag  0.5404  0.9039  0.8225 x1
Ag  0.8223  0.3525  0.7281 x1
Ag  0.9110  0.1595  0.3625 x1


Material: Al5Ag
Method: DFT, GGA-PBEsol
State: relaxed

V   16.18 A^3/atom
Formation enthalpy at 0 K   -0.02 eV per atom
Distance to the lowest polymorph of the same formula   4.5 meV/atom

abc: 2.8698 2.8698 11.7872
angles: 90.00 90.00 90.00
Space group P4/mmm (No. 123)
Unique sites:
Al  0.0000  0.0000  0.0000 x1
Al  0.0000  0.0000  0.3343 x2
Al  0.5000  0.5000  0.1660 x2
Ag  0.5000  0.5000  0.5000 x1


Material: AlAg
Method: DFT, GGA-PBEsol
State: relaxed

V   16.10 A^3/atom
Formation enthalpy at 0 K   -0.07 eV per atom

abc: 6.7068 2.9334 6.9504
angles: 90.00 109.65 90.00
Space group Pm (No. 6)
Unique sites:
Al  0.0000  0.0000  0.0000 x1
Al  0.1326  0.5000  0.3761 x1
Al  0.2686  0.0000  0.7514 x1
Al  0.5176  0.0000  0.4974 x1
Ag  0.3698  0.5000  0.1264 x1
Ag  0.6293  0.5000  0.8692 x1
Ag  0.7672  0.0000  0.2546 x1
Ag  0.9009  0.5000  0.6354 x1


Material: Al3Ag2
Method: DFT, GGA-PBEsol
State: relaxed

V   17.45 A^3/atom
Formation enthalpy at 0 K   0.01 eV per atom
Distance to the lowest polymorph of the same formula   75.5 meV/atom

abc: 4.3370 4.3370 5.3559
angles: 90.00 90.00 120.00
Space group P-3m1 (No. 164)
Unique sites:
Al  0.0000  0.0000  0.0000 x1
Al  0.3333  0.6667  0.3522 x2
Ag  0.3333  0.6667  0.8296 x2


Material: AlAg
Method: DFT, GGA-PBEsol
State: relaxed

V   16.20 A^3/atom
Formation enthalpy at 0 K   -0.07 eV per atom

abc: 2.9206 2.9206 52.6282
angles: 90.00 90.00 120.00
Space group R-3m (No. 166, hexagonal axes)
Unique sites:
Al  0.0000  0.0000  0.0629 x6
Al  0.0000  0.0000  0.1877 x6
Ag  0.0000  0.0000  0.3110 x6
Ag  0.0000  0.0000  0.4379 x6


Material: Al5Ag
Method: DFT, GGA-PBEsol
State: relaxed

V   16.25 A^3/atom
Formation enthalpy at 0 K   -0.01 eV per atom
Distance to the lowest polymorph of the same formula   12.0 meV/atom

abc: 4.9397 2.8395 6.9510
angles: 90.00 90.94 90.00
Space group P2/m (No. 10)
Unique sites:
Al  0.0000  0.0000  0.0000 x1
Al  0.1642  0.5000  0.3357 x2
Al  0.3343  0.0000  0.6663 x2
Ag  0.5000  0.5000  0.0000 x1


Material: Al5Ag3
Method: DFT, GGA-PBEsol
State: relaxed

V   16.39 A^3/atom
Formation enthalpy at 0 K   -0.01 eV per atom
Distance to the lowest polymorph of the same formula   49.8 meV/atom

abc: 4.0327 4.0327 16.1264
angles: 90.00 90.00 90.00
Space group I4/mmm (No. 139)
Unique sites:
Al  0.0000  0.0000  0.0000 x2
Al  0.0000  0.5000  0.1262 x8
Ag  0.0000  0.0000  0.2458 x4
Ag  0.0000  0.0000  0.5000 x2


Material: Al3Ag
Method: DFT, GGA-PBEsol
State: relaxed

V   16.38 A^3/atom
Formation enthalpy at 0 K   0.02 eV per atom

abc: 4.0316 4.0316 4.0316
angles: 90.00 90.00 90.00
Space group Pm-3m (No. 221)
Unique sites:
Al  0.0000  0.0000  0.5000 x3
Ag  0.5000  0.5000  0.5000 x1


Material: Al5Ag
Method: DFT, GGA-PBEsol
State: relaxed

V   16.25 A^3/atom
Formation enthalpy at 0 K   -0.01 eV per atom
Distance to the lowest polymorph of the same formula   10.8 meV/atom

abc: 14.7091 2.8467 4.9318
angles: 90.00 109.25 90.00
Space group C2/m (No. 12)
Unique sites:
Al  0.0000  0.0000  0.0000 x2
Al  0.1661  0.0000  0.4988 x4
Al  0.1688  0.5000  0.0050 x4
Ag  0.0000  0.5000  0.5000 x2


Material: Al5Ag3
Method: DFT, GGA-PBEsol
State: relaxed

V   16.33 A^3/atom
Formation enthalpy at 0 K   -0.02 eV per atom
Distance to the lowest polymorph of the same formula   38.7 meV/atom

abc: 8.9944 3.9906 8.0702
angles: 90.00 115.57 90.00
Space group Cm (No. 8)
Unique sites:
Al  0.0000  0.0000  0.0000 x2
Al  0.0055  0.0000  0.4931 x2
Al  0.2465  0.5000  0.1250 x2
Al  0.2535  0.0000  0.8727 x2
Al  0.2596  0.5000  0.6237 x2
Ag  0.0119  0.5000  0.7455 x2
Ag  0.2514  0.0000  0.3761 x2
Ag  0.4937  0.0000  0.2427 x2


Please write out number 5 again, unchanged.
Material: AlAg
Method: DFT, GGA-PBEsol
State: relaxed

V   16.10 A^3/atom
Formation enthalpy at 0 K   -0.07 eV per atom

abc: 6.7068 2.9334 6.9504
angles: 90.00 109.65 90.00
Space group Pm (No. 6)
Unique sites:
Al  0.0000  0.0000  0.0000 x1
Al  0.1326  0.5000  0.3761 x1
Al  0.2686  0.0000  0.7514 x1
Al  0.5176  0.0000  0.4974 x1
Ag  0.3698  0.5000  0.1264 x1
Ag  0.6293  0.5000  0.8692 x1
Ag  0.7672  0.0000  0.2546 x1
Ag  0.9009  0.5000  0.6354 x1